A geometry-optimized Li7Mn2Co3O12 structure. Source: Alexandria, functional GGA-PBEsol.

Output
**Polymorph energy (0 for the lowest one)**: 30 meV per atom
**Formation energy without anion corrections**: -1731 meV/atom
**Crystal system**: triclinic
**Total magnetic moment**: 0.252 μB per atom

The structure in POSCAR format:
```
Li7Mn2Co3O12
1.0
5.5856 -0.0116 0.0469
1.3584 6.1766 0.0069
2.7579 1.3942 5.5486
O Li Mn Co
12 7 2 3
Cartesian
2.7117 0.4561 1.4213
6.9509 2.5138 2.2667
5.5650 4.1072 0.4082
6.9902 7.1031 4.1811
5.6354 0.4620 1.4761
5.5711 4.9175 3.4052
2.7510 5.0454 3.3357
4.1308 2.6417 2.1972
4.0665 7.0972 4.1263
6.9399 3.4365 5.2219
2.7620 4.1227 0.3805
4.1369 3.4520 5.1942
5.5996 6.1655 0.0627
4.2005 4.6465 1.9233
4.1717 0.6913 2.7977
2.8060 2.8702 3.7305
5.5014 2.9127 3.6791
4.1024 1.3937 5.5397
6.8960 4.6890 1.8719
6.9193 5.3198 4.6220
2.7826 2.2394 0.9804
5.5553 2.2727 0.9773
1.3790 0.6971 2.7743
4.1466 5.2865 4.6251
```

A geometry-optimized SiAsOs2 structure. Source: Alexandria, functional GGA-PBEsol.

Output
**Polymorph energy (0 for the lowest one)**: 0 meV per atom
**Formation energy without anion corrections**: 46 meV/atom
**Crystal system**: cubic
**Total magnetic moment**: 0.000 μB per atom

The structure in POSCAR format:
```
SiAsOs2
1.0
4.2436 0.0000 0.0000
2.1218 3.6751 0.0000
2.1218 1.2250 3.4649
Si Os As
1 2 1
Cartesian
0.0000 0.0000 0.0000
6.3655 3.6751 2.5987
2.1218 1.2250 0.8662
4.2436 2.4501 1.7325
```

| no. | density of states at the Fermi level (states/eV/cell) |
| --- | --- |
| 1 | 1.461 |
| 2 | 1.103 |